DFT (GGA-PBE) results for HfMg3In after structural relaxation.

```
HfMg3In
1.0
-4.365 1.929 -1.974
-2.714 -3.677 2.407
-0.506 3.072 4.121
In Hf Mg
1 1 3
Cartesian
0.000 0.000 0.000
-3.792 0.662 2.277
-1.357 -1.838 1.204
-0.253 1.536 2.061
-2.183 0.965 -0.987
```

Results
- Energy: -2.67 eV/atom
- Total magnetic moment: 0.0 μB/f.u.



DFT (GGA-PBE) results for HoBiPtAu after structural relaxation.

```
HoBiPtAu
1.0
4.995 0.000 0.000
2.498 4.326 0.000
2.498 1.442 4.079
Ho Pt Bi Au
1 1 1 1
Cartesian
0.000 0.000 0.000
7.493 4.326 3.059
4.995 2.884 2.039
2.498 1.442 1.020
```

Results
- Energy: -5.10 eV/atom
- Total magnetic moment: 0.0 μB/f.u.



DFT (GGA-PBE) results for NaTiGa2S after structural relaxation.

```
NaTiGa2S
1.0
5.106 0.000 0.000
0.000 4.657 0.000
0.000 0.000 5.106
S Ga Ti Na
1 2 1 1
Cartesian
0.000 2.329 0.000
0.000 0.000 2.553
2.553 0.000 0.000
0.000 0.000 0.000
2.553 2.329 2.553
```

Results
- Uncorrected formation energy: -0.197 eV per atom
- Total magnetic moment: 0.0 μB/f.u.



DFT (GGA-PBE) results for CsMg3Sb after structural relaxation.

```
CsMg3Sb
1.0
6.330 0.000 0.000
0.000 6.330 0.000
0.000 0.000 6.330
Cs Sb Mg
1 1 3
Cartesian
0.000 0.000 0.000
3.165 3.165 3.165
3.165 0.000 0.000
0.000 3.165 0.000
0.000 0.000 3.165
```

Results
- Uncorrected formation energy: 1.315 eV per atom
- Total magnetic moment: 0.0 μB/f.u.



DFT (GGA-PBE) results for Mg2Tc after structural relaxation.

```
Mg2Tc
1.0
-2.586 -0.556 -0.135
1.239 -6.451 2.853
-0.924 2.705 6.520
Tc Mg
2 4
Cartesian
0.000 0.000 0.000
-1.135 -2.151 4.618
-0.574 -4.533 3.676
-1.697 0.230 5.561
0.084 -0.982 2.430
0.231 -2.764 6.942
```

Results
- Energy: -3.99 eV/atom
- Total magnetic moment: 0.1 μB/f.u.



DFT (GGA-PBE) results for InMo2Cl after structural relaxation.

```
InMo2Cl
1.0
-6.272 5.621 2.336
-6.460 3.435 4.782
-4.242 5.857 4.909
Cl Mo In
1 2 1
Cartesian
-8.672 7.619 6.144
-4.364 3.834 3.092
-16.749 14.716 11.867
-12.650 11.114 8.963
```

Results
- Uncorrected formation energy: 0.121 eV per atom
- Total magnetic moment: 0.0 μB/f.u.



DFT (GGA-PBE) results for Ca3Ga2Rh3 after structural relaxation.

```
Ca3Ga2Rh3
1.0
5.840 0.000 0.000
0.000 7.837 0.000
0.000 0.000 14.664
Ga Ca Rh
8 12 12
Cartesian
0.742 6.903 8.848
5.098 0.935 1.517
2.178 2.984 13.147
2.178 2.984 8.848
3.662 4.853 1.517
0.742 6.903 13.147
3.662 4.853 5.815
5.098 0.935 5.815
5.050 4.143 8.895
0.567 1.368 10.998
0.790 3.695 5.769
5.273 6.470 3.666
3.487 2.551 3.666
2.130 7.613 1.563
2.353 5.286 10.998
3.710 0.224 8.895
0.790 3.695 1.563
5.050 4.143 13.101
2.130 7.613 5.769
3.710 0.224 13.101
0.467 1.399 3.666
0.600 1.348 14.099
2.319 5.267 14.099
3.520 2.571 0.565
0.600 1.348 7.897
2.453 5.318 3.666
5.239 6.489 6.767
2.319 5.267 7.897
5.373 6.438 10.998
5.239 6.489 0.565
3.520 2.571 6.767
3.387 2.519 10.998
```

Results
- Energy: -4.86 eV/atom
- Total magnetic moment: 0.0 μB/f.u.



DFT (GGA-PBE) results for Pm12HoSc2 after structural relaxation.

```
Pm12HoSc2
1.0
-3.080 -5.530 -2.597
1.151 -1.197 -6.637
23.998 -7.650 0.561
Pm Ho Sc
24 2 4
Cartesian
12.533 -9.356 -6.705
19.729 -10.727 -7.209
2.340 -3.650 -1.464
9.536 -5.022 -1.968
11.606 -8.508 -3.495
4.986 -7.518 -2.833
8.571 -8.385 -6.585
17.083 -6.859 -5.840
19.681 -12.316 -2.407
0.272 -4.227 -4.246
2.388 -2.061 -6.266
18.341 -9.561 -4.135
13.498 -5.992 -2.089
20.457 -7.394 -6.155
21.797 -10.150 -4.427
20.694 -7.363 -2.592
1.612 -6.983 -2.518
8.347 -8.036 -3.158
3.728 -4.817 -4.539
14.968 -9.026 -3.820
10.463 -5.870 -5.178
13.721 -6.341 -5.515
7.101 -5.352 -4.853
1.375 -7.014 -6.081
21.493 -13.779 -5.354
-0.389 -3.962 -7.936
4.950 -7.686 -6.338
17.119 -6.692 -2.335
5.914 -4.322 -1.721
16.155 -10.055 -6.952
```

Results
- Energy: -4.85 eV/atom
- Total magnetic moment: 0.0 μB/f.u.



DFT (GGA-PBE) results for Li3Hg2S2Br3 after structural relaxation.

```
Li3Hg2S2Br3
1.0
-3.441 -2.514 -0.736
1.863 -1.494 -3.606
6.452 -7.793 9.157
Br S Hg Li
3 2 2 3
Cartesian
0.329 -3.938 -0.792
4.545 -7.863 5.607
0.000 0.000 0.000
2.699 -8.038 2.132
2.175 -3.763 2.683
3.763 -5.646 1.690
1.111 -6.155 3.125
3.813 -9.965 3.506
1.061 -1.836 1.309
-0.789 -2.004 -2.171
```

Results
- Uncorrected formation energy: -0.798 eV per atom
- Total magnetic moment: 0.0 μB/f.u.



DFT (GGA-PBE) results for NaGaSnSb after structural relaxation.

```
NaGaSnSb
1.0
5.259 0.000 0.000
2.630 4.555 0.000
2.630 1.518 4.294
Ga Na Sb Sn
1 1 1 1
Cartesian
0.000 0.000 0.000
7.889 4.555 3.221
5.259 3.036 2.147
2.630 1.518 1.074
```

Results
- Uncorrected formation energy: -0.023 eV per atom
- Total magnetic moment: 0.0 μB/f.u.



DFT (GGA-PBE) results for CuTc2Cl after structural relaxation.

```
CuTc2Cl
1.0
-2.519 -0.035 -1.913
0.299 -3.130 -0.337
-3.829 -0.911 5.058
Tc Cl Cu
2 1 1
Cartesian
-3.572 -0.850 4.718
-2.172 -0.517 2.869
-2.067 -1.810 0.139
-3.982 -2.265 2.669
```

Results
- Uncorrected formation energy: 0.652 eV per atom
- Total magnetic moment: 0.0 μB/f.u.



DFT (GGA-PBE) results for CsRb2MgZn after structural relaxation.

```
CsRb2MgZn
1.0
-6.605 -0.193 2.928
-0.532 -7.013 -1.663
2.181 -1.312 4.834
Mg Rb Cs Zn
1 2 1 1
Cartesian
1.091 -0.656 2.417
-0.266 -3.507 -0.832
-3.302 -0.097 1.464
-2.478 -4.259 3.049
0.000 0.000 0.000
```

Results
- Energy: -0.96 eV/atom
- Total magnetic moment: 0.0 μB/f.u.